Entry 1:
Below is a relaxed structure of LaSbPb, with properties calculated at the PBEsol level.

a = 5.258 Å, b = 5.258 Å, c = 5.258 Å
α = 60.00°, β = 60.00°, γ = 60.00°
Positions (direct):
La 0.000 0.000 0.000
Sb 0.250 0.250 0.250
Pb 0.500 0.500 0.500

Symmetry: F-43m
Energy relative to the elements, uncorrected: -40.59 kJ per mole of atoms
Distance to the lowest polymorph of the same formula: 100 meV per atom
Density of states at the Fermi level: 1.6 states/eV/f.u.
Total moment: 0.0 μB/cell



Entry 2:
Below is a relaxed structure of Li2ZnCl4, with properties calculated at the PBEsol level.

a = 7.233 Å, b = 7.233 Å, c = 7.233 Å
α = 60.00°, β = 60.00°, γ = 60.00°
Positions (direct):
Li 0.000 0.000 0.000
Li 0.000 0.000 0.500
Li 0.000 0.500 0.000
Li 0.500 0.000 0.000
Zn 0.375 0.375 0.375
Zn 0.625 0.625 0.625
Cl 0.240 0.753 0.753
Cl 0.247 0.247 0.247
Cl 0.247 0.247 0.760
Cl 0.247 0.760 0.247
Cl 0.753 0.240 0.753
Cl 0.753 0.753 0.240
Cl 0.753 0.753 0.753
Cl 0.760 0.247 0.247

Symmetry: Fd-3m
Energy relative to the elements, uncorrected: -146.76 kJ per mole of atoms
Density of states at the Fermi level: 0.0 states/eV/f.u.
Total moment: 0.0 μB/cell



Entry 3:
Below is a relaxed structure of LiMgHg2Pd, with properties calculated at the PBEsol level.

a = 4.665 Å, b = 4.665 Å, c = 4.338 Å
α = 90.00°, β = 90.00°, γ = 90.00°
Positions (direct):
Li 0.000 0.000 0.000
Mg 0.500 0.500 0.500
Hg 0.000 0.500 0.000
Hg 0.500 0.000 0.000
Pd 0.000 0.000 0.500

Symmetry: P4/mmm
E_form: 0.0454 eV per atom
Density of states at the Fermi level: 1.5 states/eV/f.u.
Total moment: 0.0 μB/cell



Entry 4:
Below is a relaxed structure of GaPt3S, with properties calculated at the PBEsol level.

a = 4.566 Å, b = 4.566 Å, c = 4.566 Å
α = 90.00°, β = 90.00°, γ = 90.00°
Positions (direct):
Ga 0.000 0.000 0.000
Pt 0.000 0.000 0.500
Pt 0.000 0.500 0.000
Pt 0.500 0.000 0.000
S 0.500 0.500 0.500

Symmetry: Pm-3m
Energy relative to the elements, uncorrected: 95.22 kJ per mole of atoms
Density of states at the Fermi level: 4.5 states/eV/f.u.
Total moment: 0.0 μB/cell



Entry 5:
Below is a relaxed structure of SbPb3, with properties calculated at the PBEsol level.

a = 3.403 Å, b = 5.733 Å, c = 5.915 Å
α = 90.00°, β = 90.00°, γ = 90.00°
Positions (direct):
Sb 0.000 0.000 0.000
Pb 0.000 0.500 0.653
Pb 0.500 0.000 0.492
Pb 0.500 0.500 0.141

Symmetry: Pmm2
Energy relative to the elements, uncorrected: 3.67 kJ per mole of atoms
Density of states at the Fermi level: 2.2 states/eV/f.u.
Total moment: 0.0 μB/cell



Entry 6:
Below is a relaxed structure of Be5Fe, with properties calculated at the PBEsol level.

a = 4.246 Å, b = 4.246 Å, c = 5.013 Å
α = 107.61°, β = 107.61°, γ = 34.78°
Positions (direct):
Be 0.000 0.000 0.000
Be 0.330 0.330 0.665
Be 0.333 0.333 0.166
Be 0.667 0.667 0.834
Be 0.670 0.670 0.335
Fe 0.000 0.000 0.500

Symmetry: C2/m
E_form: -0.0530 eV per atom
Density of states at the Fermi level: 2.4 states/eV/f.u.
Total moment: 0.9 μB/cell



Entry 7:
Below is a relaxed structure of Cs2Hg3I8, with properties calculated at the PBEsol level.

a = 11.507 Å, b = 11.507 Å, c = 7.650 Å
α = 96.16°, β = 96.16°, γ = 142.95°
Positions (direct):
Cs 0.131 0.869 0.000
Cs 0.869 0.131 0.000
Hg 0.448 0.836 0.370
Hg 0.777 0.777 0.455
Hg 0.836 0.448 0.370
I 0.132 0.132 0.727
I 0.249 0.867 0.511
I 0.301 0.687 0.991
I 0.444 0.635 0.551
I 0.635 0.444 0.551
I 0.685 0.685 0.080
I 0.687 0.301 0.991
I 0.867 0.249 0.511

Symmetry: Cm
Energy relative to the elements, uncorrected: -66.26 kJ per mole of atoms
Density of states at the Fermi level: 0.0 states/eV/f.u.
Total moment: 0.0 μB/cell



Entry 8:
Below is a relaxed structure of Ca2CrW, with properties calculated at the PBEsol level.

a = 3.922 Å, b = 3.922 Å, c = 5.057 Å
α = 90.00°, β = 90.00°, γ = 90.00°
Positions (direct):
Ca 0.000 0.500 0.000
Ca 0.500 0.000 0.000
Cr 0.000 0.000 0.500
W 0.500 0.500 0.500

Symmetry: P4/mmm
E_form: 1.1255 eV per atom
Distance to the lowest polymorph of the same formula: 377 meV per atom
Density of states at the Fermi level: 3.6 states/eV/f.u.
Total moment: 1.2 μB/cell